A geometry-optimized PrPuTeSe structure, computed with PBE.

Cell lengths 5.3378, 5.3378, 5.3378 Å; angles 60.00, 60.00, 60.00 degrees
With the nearest neighbours (Å) after each atom.
Positions (direct):
Te1 0.7500 0.7500 0.7500  4 Pr 3.27, 4 Pu 3.27
Se1 0.2500 0.2500 0.2500  4 Pr 3.27, 4 Pu 3.27
Pr1 0.5000 0.5000 0.5000  4 Te 3.27, 4 Se 3.27
Pu1 0.0000 0.0000 0.0000  4 Te 3.27, 4 Se 3.27

Summary:
DOS(E_F) ... 1.436 states/eV per atom
Polymorph energy (0 for the lowest one) ... 0.2333 eV per atom
Energy relative to the elements, uncorrected ... -1.253 eV/atom



A geometry-optimized PrPuTeSe structure, computed with PBE.

Cell lengths 4.3071, 4.3071, 7.6275 Å; angles 73.60, 73.60, 60.00 degrees
With the nearest neighbours (Å) after each atom.
Positions (direct):
Te1 0.7528 0.7528 0.7415  3 Pu 3.14, 3 Pr 3.21
Se1 0.2467 0.2467 0.2598  3 Pu 2.94, 3 Pr 3.02
Pr1 0.9926 0.9926 0.0222  3 Se 3.02, 3 Te 3.21
Pu1 0.5078 0.5078 0.4765  3 Se 2.94, 3 Te 3.14

Summary:
DOS(E_F) ... 2.498 states/eV per atom
Polymorph energy (0 for the lowest one) ... 0.0000 eV per atom
Energy relative to the elements, uncorrected ... -1.486 eV/atom



A geometry-optimized Pr2Pu2Te2Se3 structure, computed with PBE.

Cell lengths 5.7234, 5.7234, 9.0698 Å; angles 108.39, 108.39, 90.00 degrees
With the nearest neighbours (Å) after each atom.
Positions (direct):
Se1 0.2500 0.7500 0.5000  4 Pr 2.98
Te1 0.3966 0.3966 0.7933  1 Pr 3.22, 4 Pu 3.32, 1 Te 3.36
Se2 0.7500 0.2500 0.5000  4 Pr 2.98
Pr1 0.1980 0.1980 0.3960  5 Se 2.98-3.21, 1 Te 3.22
Se3 0.0000 0.0000 0.0000  4 Pu 2.86
Te2 0.6034 0.6034 0.2067  1 Pr 3.22, 4 Pu 3.32, 1 Te 3.36
Pu1 0.5000 0.0000 0.0000  2 Se 2.86
Pu2 0.0000 0.5000 0.0000  2 Se 2.86
Pr2 0.8020 0.8020 0.6040  5 Se 2.98-3.21, 1 Te 3.22

Summary:
DOS(E_F) ... 1.977 states/eV per atom
Energy relative to the elements, uncorrected ... -1.327 eV/atom



A geometry-optimized Pr2PuTh3Se6 structure, computed with PBE.

Cell lengths 4.2092, 8.4305, 9.4555 Å; angles 103.94, 102.86, 90.00 degrees
With the nearest neighbours (Å) after each atom.
Positions (direct):
Pr1 0.8345 0.6673 0.6690  6 Se 2.98-3.00
Th1 0.8313 0.1631 0.6625  6 Se 2.97-3.00
Se1 0.0018 0.7569 0.0037  2 Pu 2.94, 3 Th 2.98-3.01, 1 Pr 2.99
Se2 0.6667 0.5861 0.3333  3 Th 2.98, 3 Pr 2.99-3.00
Pr2 0.1655 0.3327 0.3310  6 Se 2.98-3.00
Se3 0.9982 0.2431 0.9963  2 Pu 2.94, 3 Th 2.98-3.01, 1 Pr 2.99
Pu1 0.5000 0.0000 0.0000  6 Se 2.92-2.94
Th2 0.1687 0.8369 0.3375  6 Se 2.97-3.00
Se4 0.3333 0.4139 0.6667  3 Th 2.98, 3 Pr 2.99-3.00
Se5 0.3364 0.9182 0.6728  1 Pu 2.92, 3 Th 2.97-3.00, 2 Pr 2.98
Th3 0.5000 0.5000 0.0000  6 Se 2.98-3.01
Se6 0.6636 0.0818 0.3272  1 Pu 2.92, 3 Th 2.97-3.00, 2 Pr 2.98

Summary:
DOS(E_F) ... 0.970 states/eV per atom
Energy relative to the elements, uncorrected ... -1.636 eV/atom



A geometry-optimized PrPu2ThSe4 structure, computed with PBE.

Cell lengths 4.1704, 7.1901, 7.3318 Å; angles 70.60, 90.00, 90.00 degrees
With the nearest neighbours (Å) after each atom.
Positions (direct):
Se1 0.0000 0.2411 0.2551  3 Pu 2.92-2.94, 1 Th 2.98, 2 Pr 3.00
Th1 0.0000 0.5000 0.5000  6 Se 2.98-2.99
Pu1 0.0000 0.0000 0.0000  6 Se 2.93-2.94
Pr1 0.5000 0.5000 0.0000  6 Se 3.00
Se2 0.5000 0.2416 0.7526  3 Pu 2.93, 2 Th 2.99, 1 Pr 3.00
Pu2 0.5000 0.0000 0.5000  6 Se 2.92-2.93
Se3 0.5000 0.7584 0.2474  3 Pu 2.93, 2 Th 2.99, 1 Pr 3.00
Se4 0.0000 0.7589 0.7449  3 Pu 2.92-2.94, 1 Th 2.98, 2 Pr 3.00

Summary:
DOS(E_F) ... 2.088 states/eV per atom
Energy relative to the elements, uncorrected ... -1.615 eV/atom



A geometry-optimized Pr2Pu3ThSe6 structure, computed with PBE.

Cell lengths 4.1638, 8.4329, 9.3846 Å; angles 103.46, 102.82, 90.00 degrees
With the nearest neighbours (Å) after each atom.
Positions (direct):
Se1 0.0030 0.7458 0.0060  3 Pu 2.92-2.93, 2 Th 3.00, 1 Pr 3.01
Se2 0.9970 0.2542 0.9940  3 Pu 2.92-2.93, 2 Th 3.00, 1 Pr 3.01
Se3 0.3353 0.4103 0.6705  3 Pu 2.92-2.93, 3 Pr 3.01
Pr1 0.1661 0.3325 0.3322  6 Se 3.00-3.01
Pu1 0.5000 0.5000 0.0000  6 Se 2.93
Se4 0.6683 0.0769 0.3366  3 Pu 2.92, 1 Th 2.99, 2 Pr 3.00
Se5 0.6647 0.5897 0.3295  3 Pu 2.92-2.93, 3 Pr 3.01
Se6 0.3317 0.9231 0.6634  3 Pu 2.92, 1 Th 2.99, 2 Pr 3.00
Pu2 0.1672 0.8340 0.3343  6 Se 2.92
Th1 0.5000 0.0000 0.0000  6 Se 2.99-3.00
Pr2 0.8339 0.6675 0.6678  6 Se 3.00-3.01
Pu3 0.8328 0.1660 0.6657  6 Se 2.92

Summary:
DOS(E_F) ... 2.099 states/eV per atom
Energy relative to the elements, uncorrected ... -1.651 eV/atom